<a>
NaMn3Ru: relaxed, PBE.

Lattice parameters (Å, degrees): 4.849 4.849 4.849 90.00 90.00 90.00
Fractional positions:
Na 0.000 0.000 0.000
Mn 0.000 0.500 0.500
Mn 0.500 0.000 0.500
Mn 0.500 0.500 0.000
Ru 0.500 0.500 0.500

Properties
The total magnetization comes out at 12.56 μB/f.u.


<b>
NaMn3Ru: relaxed, PBE.

Lattice parameters (Å, degrees): 4.134 4.134 4.134 90.00 90.00 90.00
Fractional positions:
Na 0.000 0.000 0.000
Mn 0.000 0.000 0.500
Mn 0.000 0.500 0.000
Mn 0.500 0.000 0.000
Ru 0.500 0.500 0.500

Properties
The total magnetization comes out at 0.15 μB/f.u.


Short version: <b> is the least stable of them.